Entry 1:
A geometry-optimized CaMgCl2 structure. Source: Alexandria via LeMat-Bulk, functional PBEsol.

- Total magnetization: 0.000 μB/atom
- Volume: 28.9 Å³/atom
- Space group: R-3m
- E above lowest polymorph: 1.137 eV per formula unit

a = 3.753 Å, b = 3.753 Å, c = 9.717 Å
α = 78.87°, β = 78.87°, γ = 60.00°
Sites, in units of the cell vectors:
Ca (0.000, 0.000, 0.000)
Mg (0.500, 0.500, 0.500)
Cl (0.880, 0.880, 0.359)
Cl (0.120, 0.120, 0.641)



Entry 2:
A geometry-optimized CaMgCl2 structure. Source: Alexandria via LeMat-Bulk, functional PBEsol.

- Total magnetization: 0.000 μB/atom
- Volume: 24.0 Å³/atom
- Space group: Pmmm
- E above lowest polymorph: 1.230 eV per formula unit

a = 3.661 Å, b = 4.239 Å, c = 6.188 Å
α = 90.00°, β = 90.00°, γ = 90.00°
Sites, in units of the cell vectors:
Ca (0.000, 0.500, 0.500)
Cl (0.000, 0.000, 0.000)
Cl (0.500, 0.000, 0.500)
Mg (0.500, 0.500, 0.000)



Entry 3:
A geometry-optimized CaMgCl2 structure. Source: Alexandria via LeMat-Bulk, functional PBEsol.

- Total magnetization: 0.000 μB/atom
- Volume: 28.7 Å³/atom
- Space group: Immm
- E above lowest polymorph: 0.698 eV per formula unit

a = 3.826 Å, b = 6.074 Å, c = 6.074 Å
α = 60.82°, β = 71.64°, γ = 71.64°
Sites, in units of the cell vectors:
Ca (0.000, 0.500, 0.500)
Cl (0.312, 0.688, 0.688)
Cl (0.688, 0.312, 0.312)
Mg (0.500, 0.000, 0.000)



Entry 4:
A geometry-optimized CaMgCl2 structure. Source: Alexandria via LeMat-Bulk, functional PBEsol.

- Total magnetization: 0.000 μB/atom
- Volume: 31.9 Å³/atom
- Space group: R-3m
- E above lowest polymorph: 0.000 eV per formula unit

a = 3.888 Å, b = 3.888 Å, c = 10.010 Å
α = 78.80°, β = 78.80°, γ = 60.00°
Sites, in units of the cell vectors:
Ca (0.000, 0.000, 0.000)
Cl (0.283, 0.283, 0.152)
Cl (0.717, 0.717, 0.848)
Mg (0.500, 0.500, 0.500)



Entry 5:
A geometry-optimized CaMgPCl2 structure. Source: Alexandria via LeMat-Bulk, functional PBEsol.

- VASP energy: -18.80 eV per cell
- Total magnetization: 0.203 μB/atom
- Volume: 23.4 Å³/atom
- Space group: P4/mmm

a = 4.721 Å, b = 4.721 Å, c = 5.248 Å
α = 90.00°, β = 90.00°, γ = 90.00°
Sites, in units of the cell vectors:
P (0.000, 0.000, 0.500)
Ca (0.500, 0.500, 0.500)
Mg (0.000, 0.000, 0.000)
Cl (0.000, 0.500, 0.000)
Cl (0.500, 0.000, 0.000)



Entry 6:
A geometry-optimized Ca4MnCl structure. Source: Alexandria via LeMat-Bulk, functional PBEsol.

- VASP energy: -17.37 eV per cell
- Total magnetization: 0.799 μB/atom
- Volume: 36.3 Å³/atom
- Space group: F-43m

a = 6.752 Å, b = 6.752 Å, c = 6.752 Å
α = 60.00°, β = 60.00°, γ = 60.00°
Sites, in units of the cell vectors:
Ca (0.374, 0.374, 0.374)
Ca (0.374, 0.374, 0.879)
Ca (0.879, 0.374, 0.374)
Ca (0.374, 0.879, 0.374)
Cl (0.750, 0.750, 0.750)
Mn (0.000, 0.000, 0.000)



Entry 7:
A geometry-optimized CaMn2Cl structure. Source: Alexandria via LeMat-Bulk, functional PBEsol.

- VASP energy: -24.12 eV per cell
- Total magnetization: 0.125 μB/atom
- Volume: 21.1 Å³/atom
- Space group: P4mm

a = 3.224 Å, b = 3.224 Å, c = 8.127 Å
α = 90.00°, β = 90.00°, γ = 90.00°
Sites, in units of the cell vectors:
Ca (0.000, 0.000, 0.501)
Mn (0.000, 0.000, 0.102)
Mn (0.500, 0.500, 0.209)
Cl (0.500, 0.500, 0.688)



Entry 8:
A geometry-optimized CaMnCl3 structure. Source: Alexandria via LeMat-Bulk, functional PBEsol.

- VASP energy: -23.28 eV per cell
- Total magnetization: 0.852 μB/atom
- Volume: 22.5 Å³/atom
- Space group: Pm-3m

a = 4.831 Å, b = 4.831 Å, c = 4.831 Å
α = 90.00°, β = 90.00°, γ = 90.00°
Sites, in units of the cell vectors:
Ca (0.500, 0.500, 0.500)
Mn (0.000, 0.000, 0.000)
Cl (0.000, 0.500, 0.000)
Cl (0.000, 0.000, 0.500)
Cl (0.500, 0.000, 0.000)